12
Lattice="-1.985 -0.655 -4.665 -4.332 -1.734 2.087 -1.595 13.435 1.593" Properties=species:S:1:pos:R:3 comment="K3Ni2Br7 | the Alexandria database | PBE | relaxed" density_g_cm3=3.84 energy_ev_per_atom=-3.184 formation_energy_uncorrected_mev_per_atom=-971 m_tot_mub_per_fu=1.3 vol_a3_per_cell=343 pbc="T T T"
K -3.047 7.845 0.195
K -4.866 3.201 -1.180
K -3.159 -1.195 -1.289
Ni -0.929 2.392 0.059
Ni -6.983 8.654 -1.045
Br 0.000 0.000 0.000
Br -4.850 9.607 -2.086
Br -6.024 9.068 1.290
Br -3.062 1.439 1.101
Br -1.888 1.979 -2.275
Br -1.828 4.708 0.117
Br -6.084 6.338 -1.102